No. 1
Compound: NbSe2
Source: Alexandria via LeMat-Bulk
Functional: PBEsol
Structure: relaxed

```
NbSe2
1.0
3.422 0.000 0.000
-1.711 2.963 0.000
0.000 0.000 24.448
Nb Se
4 8
direct
0.000 0.000 0.000
0.000 0.000 0.250
0.000 0.000 0.500
0.000 0.000 0.750
0.333 0.667 0.069
0.333 0.667 0.431
0.333 0.667 0.682
0.333 0.667 0.818
0.667 0.333 0.182
0.667 0.333 0.318
0.667 0.333 0.569
0.667 0.333 0.931
```

Properties
- Electronic total energy: -7.038 eV/atom
- E_form (uncorrected): -865 meV per atom

=====

No. 2
Compound: NbSe2
Source: Alexandria via LeMat-Bulk
Functional: PBEsol
Structure: relaxed

```
NbSe2
1.0
24.668 0.000 0.000
0.000 1.710 2.961
0.000 -1.710 2.961
Nb Se
4 8
direct
0.000 0.000 0.000
0.248 0.003 0.003
0.500 0.336 0.336
0.752 0.003 0.003
0.068 0.333 0.333
0.180 0.670 0.670
0.317 0.337 0.337
0.432 0.670 0.670
0.568 0.670 0.670
0.683 0.337 0.337
0.820 0.670 0.670
0.932 0.333 0.333
```

Properties
- Electronic total energy: -7.037 eV/atom
- E_form (uncorrected): -863 meV per atom

=====

No. 3
Compound: NbSe2
Source: Alexandria via LeMat-Bulk
Functional: PBEsol
Structure: relaxed

```
NbSe2
1.0
1.710 0.987 6.265
-1.710 0.987 6.265
0.000 -1.975 6.265
Nb Se
1 2
direct
0.000 0.000 0.000
0.577 0.577 0.577
0.756 0.756 0.756
```

Properties
- Electronic total energy: -7.041 eV/atom
- E_form (uncorrected): -867 meV per atom

=====

No. 4
Compound: NbSe2
Source: Alexandria via LeMat-Bulk
Functional: PBEsol
Structure: relaxed

```
NbSe2
1.0
3.420 0.000 0.000
-1.710 2.962 0.000
0.000 0.000 6.189
Nb Se
1 2
direct
0.000 0.000 0.000
0.333 0.667 0.272
0.667 0.333 0.728
```

Properties
- Electronic total energy: -7.016 eV/atom
- E_form (uncorrected): -842 meV per atom

=====

No. 5
Compound: Nb3Se4
Source: Alexandria via LeMat-Bulk
Functional: PBEsol
Structure: relaxed

```
Nb3Se4
1.0
10.007 0.000 0.000
-5.004 8.667 0.000
0.000 0.000 3.433
Nb Se
6 8
direct
0.110 0.488 0.250
0.378 0.890 0.250
0.488 0.378 0.750
0.512 0.622 0.250
0.622 0.110 0.750
0.890 0.512 0.750
0.062 0.721 0.250
0.279 0.341 0.250
0.333 0.667 0.750
0.341 0.062 0.750
0.659 0.938 0.250
0.667 0.333 0.250
0.721 0.659 0.750
0.938 0.279 0.750
```

Properties
- Electronic total energy: -7.755 eV/atom
- E_form (uncorrected): -918 meV per atom

=====

No. 6
Compound: NbSe2
Source: Alexandria via LeMat-Bulk
Functional: PBEsol
Structure: relaxed

```
NbSe2
1.0
0.000 6.330 2.955
1.715 0.000 2.955
1.715 6.330 0.000
Nb Se
1 2
direct
0.000 0.000 0.000
0.533 0.798 0.202
0.798 0.533 0.467
```

Properties
- Electronic total energy: -7.037 eV/atom
- E_form (uncorrected): -863 meV per atom

=====

No. 7
Compound: NbSe2
Source: Alexandria via LeMat-Bulk
Functional: PBEsol
Structure: relaxed

```
NbSe2
1.0
1.715 -2.963 0.000
1.715 2.963 0.000
0.000 0.000 24.843
Nb Se
4 8
direct
0.001 0.999 0.877
0.499 0.501 0.377
0.501 0.499 0.623
0.999 0.001 0.123
0.165 0.835 0.310
0.166 0.834 0.444
0.334 0.666 0.944
0.335 0.665 0.810
0.665 0.335 0.190
0.666 0.334 0.056
0.834 0.166 0.556
0.835 0.165 0.690
```

Properties
- Electronic total energy: -7.042 eV/atom
- E_form (uncorrected): -868 meV per atom

=====

No. 8
Compound: NbSe3
Source: Alexandria via LeMat-Bulk
Functional: PBEsol
Structure: relaxed

```
NbSe3
1.0
5.240 0.000 0.000
0.000 3.448 0.000
-1.168 0.000 9.236
Nb Se
2 6
direct
0.213 0.250 0.334
0.787 0.750 0.666
0.068 0.250 0.832
0.261 0.750 0.551
0.420 0.750 0.167
0.580 0.250 0.833
0.739 0.250 0.449
0.932 0.750 0.168
```

Properties
- Electronic total energy: -6.277 eV/atom
- E_form (uncorrected): -684 meV per atom

=====

Number 1: theoretical density 6.7 g/cm³. Number 2: theoretical density 6.7 g/cm³. Number 3: theoretical density 6.6 g/cm³. Number 4: theoretical density 6.6 g/cm³. Number 5: theoretical density 6.6 g/cm³. Number 6: theoretical density 6.5 g/cm³. Number 7: theoretical density 6.6 g/cm³. Number 8: theoretical density 6.6 g/cm³.